Record 1
First-principles (PBEsol) data for an optimized crystal structure of ZnCu2Ir, as listed in the Alexandria database.

## Properties
Its crystal system is tetragonal. Its space group is No. 99. The calculation puts the final energy at -20.10 eV per cell.

Lattice parameters (Å, degrees): 2.9636 2.9636 5.6302 90.00 90.00 90.00
With the nearest neighbours (Å) after each atom.
Fractional positions:
1 Zn 0.0000 0.0000 0.0000  5 Cu 2.51-2.66, 4 Ir 2.57
2 Cu 0.0000 0.0000 0.4724  4 Cu 2.46, 4 Ir 2.57, 1 Zn 2.66
3 Cu 0.5000 0.5000 0.2440  4 Cu 2.46, 4 Zn 2.51
4 Ir 0.5000 0.5000 0.7355  6 Cu 2.57-2.86, 4 Zn 2.57

Record 2
First-principles (PBEsol) data for an optimized crystal structure of Zn2CuIr, as listed in the Alexandria database.

## Properties
Its crystal system is monoclinic. Its space group is No. 10. The calculation puts the final energy at -17.74 eV per cell.

Lattice parameters (Å, degrees): 4.3071 2.8680 4.4496 90.00 107.21 90.00
With the nearest neighbours (Å) after each atom.
Fractional positions:
1 Zn 0.0000 0.0000 0.0000  4 Ir 2.59, 2 Cu 2.60, 6 Zn 2.65-2.87
2 Zn 0.0000 0.5000 0.5000  4 Cu 2.59, 2 Ir 2.60, 6 Zn 2.65-2.87
3 Cu 0.5000 0.0000 0.5000  6 Zn 2.59-2.60, 4 Ir 2.65, 2 Cu 2.87
4 Ir 0.5000 0.5000 0.0000  6 Zn 2.59-2.60, 4 Cu 2.65, 2 Ir 2.87

Record 3
First-principles (PBEsol) data for an optimized crystal structure of ZnCu2Ir, as listed in the Alexandria database.

## Properties
Its crystal system is monoclinic. Its space group is No. 8. The calculation puts the final energy at -20.17 eV per cell.

Lattice parameters (Å, degrees): 4.8775 4.8775 4.3737 115.07 115.07 32.58
With the nearest neighbours (Å) after each atom.
Fractional positions:
1 Zn 0.0000 0.0000 0.0000  7 Cu 2.57-2.69, 3 Ir 2.58-2.59, 2 Zn 2.74
2 Cu 0.4932 0.4932 0.4897  5 Cu 2.54-2.74, 4 Zn 2.57-2.59, 3 Ir 2.61-2.65
3 Cu 0.7475 0.7475 0.3832  5 Cu 2.54-2.74, 4 Ir 2.57-2.59, 3 Zn 2.57-2.69
4 Ir 0.2459 0.2459 0.8795  7 Cu 2.57-2.65, 3 Zn 2.58-2.59, 2 Ir 2.74

Record 4
First-principles (PBEsol) data for an optimized crystal structure of ZnCu2Ir, as listed in the Alexandria database.

## Properties
Its crystal system is trigonal. Its space group is No. 166. The calculation puts the final energy at -20.03 eV per cell.

Lattice parameters (Å, degrees): 8.5335 8.5335 8.5335 17.80 17.80 17.80
With the nearest neighbours (Å) after each atom.
Fractional positions:
1 Zn 0.0000 0.0000 0.0000  6 Cu 2.55, 6 Zn 2.64
2 Cu 0.2519 0.2519 0.2519  3 Zn 2.55, 3 Ir 2.63, 6 Cu 2.64
3 Cu 0.7481 0.7481 0.7481  3 Zn 2.55, 3 Ir 2.63, 6 Cu 2.64
4 Ir 0.5000 0.5000 0.5000  6 Cu 2.63, 6 Ir 2.64

Record 5
First-principles (PBEsol) data for an optimized crystal structure of Zn2CuIr, as listed in the Alexandria database.

## Properties
Its crystal system is tetragonal. Its space group is No. 123. The calculation puts the final energy at -18.10 eV per cell.

Lattice parameters (Å, degrees): 3.8019 3.8019 3.5721 90.00 90.00 90.00
With the nearest neighbours (Å) after each atom.
Fractional positions:
1 Zn 0.0000 0.5000 0.0000  4 Cu 2.61, 4 Ir 2.61, 4 Zn 2.69
2 Zn 0.5000 0.0000 0.0000  4 Cu 2.61, 4 Ir 2.61, 4 Zn 2.69
3 Cu 0.0000 0.0000 0.5000  8 Zn 2.61, 4 Ir 2.69
4 Ir 0.5000 0.5000 0.5000  8 Zn 2.61, 4 Cu 2.69

Record 6
First-principles (PBEsol) data for an optimized crystal structure of ZnCu2Ir, as listed in the Alexandria database.

## Properties
Its crystal system is tetragonal. Its space group is No. 119. The calculation puts the final energy at -20.14 eV per cell.

Lattice parameters (Å, degrees): 4.4246 4.4246 4.4246 129.59 129.59 74.07
With the nearest neighbours (Å) after each atom.
Fractional positions:
1 Zn 0.0000 0.0000 0.0000  8 Cu 2.58-2.66, 4 Ir 2.58
2 Cu 0.5000 0.5000 0.0000  4 Cu 2.58, 4 Ir 2.58, 4 Zn 2.66
3 Cu 0.7500 0.2500 0.5000  4 Cu 2.58, 4 Zn 2.58, 4 Ir 2.66
4 Ir 0.2500 0.7500 0.5000  8 Cu 2.58-2.66, 4 Zn 2.58

Record 7
First-principles (PBEsol) data for an optimized crystal structure of ZnCuIr, as listed in the Alexandria database.

## Properties
Its crystal system is trigonal. Its space group is No. 156. The calculation puts the final energy at -15.83 eV per cell.

Lattice parameters (Å, degrees): 2.6916 2.6916 6.2522 90.00 90.00 120.00
With the nearest neighbours (Å) after each atom.
Fractional positions:
1 Zn 0.0000 0.0000 0.0000  3 Cu 2.54, 3 Ir 2.63, 6 Zn 2.69
2 Cu 0.6667 0.3333 0.6790  3 Zn 2.54, 3 Ir 2.63, 6 Cu 2.69
3 Ir 0.3333 0.6667 0.3391  3 Zn 2.63, 3 Cu 2.63, 6 Ir 2.69

Record 8
First-principles (PBEsol) data for an optimized crystal structure of ZnCu2Ir, as listed in the Alexandria database.

## Properties
Its crystal system is monoclinic. Its space group is No. 12. The calculation puts the final energy at -20.09 eV per cell.

Lattice parameters (Å, degrees): 4.5803 4.5803 4.3534 103.42 103.42 34.76
With the nearest neighbours (Å) after each atom.
Fractional positions:
1 Zn 0.0000 0.0000 0.0000  4 Ir 2.57, 6 Cu 2.58-2.68, 2 Zn 2.74
2 Cu 0.2509 0.2509 0.7493  6 Cu 2.56-2.74, 3 Zn 2.58-2.68, 3 Ir 2.59-2.66
3 Cu 0.7491 0.7491 0.2507  6 Cu 2.56-2.74, 3 Zn 2.58-2.68, 3 Ir 2.59-2.66
4 Ir 0.5000 0.5000 0.5000  4 Zn 2.57, 6 Cu 2.59-2.66, 2 Ir 2.74

Record 9
First-principles (PBEsol) data for an optimized crystal structure of ZrCu4Ir, as listed in the Alexandria database.

## Properties
Its crystal system is cubic. Its space group is No. 216. The calculation puts the final energy at -37.92 eV per cell.

Lattice parameters (Å, degrees): 4.7949 4.7949 4.7949 60.00 60.00 60.00
With the nearest neighbours (Å) after each atom.
Fractional positions:
1 Zr 0.0000 0.0000 0.0000  12 Cu 2.81, 4 Ir 2.94
2 Cu 0.1267 0.6244 0.6244  6 Cu 2.39-2.41
3 Cu 0.6244 0.1267 0.6244  6 Cu 2.39-2.41
4 Cu 0.6244 0.6244 0.1267  6 Cu 2.39-2.41
5 Cu 0.6244 0.6244 0.6244  6 Cu 2.39-2.41
6 Ir 0.2500 0.2500 0.2500  12 Cu 2.81, 4 Zr 2.94

Record 10
First-principles (PBEsol) data for an optimized crystal structure of ZrCuIr, as listed in the Alexandria database.

## Properties
Its crystal system is orthorhombic. Its space group is No. 44. The calculation puts the final energy at -24.68 eV per cell.

Lattice parameters (Å, degrees): 4.8001 4.8001 4.8001 142.34 135.61 59.58
With the nearest neighbours (Å) after each atom.
Fractional positions:
1 Zr 0.0000 0.0000 0.0000  5 Cu 2.71-2.79, 5 Ir 2.74-2.81
2 Cu 0.6749 0.6749 0.0000  5 Zr 2.71-2.79, 5 Ir 2.74-2.81
3 Ir 0.3376 0.3376 0.0000  5 Zr 2.74-2.81, 5 Cu 2.74-2.81

Record 11
First-principles (PBEsol) data for an optimized crystal structure of ZrCuIr2, as listed in the Alexandria database.

## Properties
Its crystal system is trigonal. Its space group is No. 166. The calculation puts the final energy at -33.33 eV per cell.

Lattice parameters (Å, degrees): 8.9513 8.9513 8.9513 17.99 17.99 17.99
With the nearest neighbours (Å) after each atom.
Fractional positions:
1 Zr 0.0000 0.0000 0.0000  6 Zr 2.80, 6 Ir 2.83
2 Cu 0.5000 0.5000 0.5000  6 Ir 2.63, 6 Cu 2.80
3 Ir 0.2452 0.2452 0.2452  3 Cu 2.63, 6 Ir 2.80, 3 Zr 2.83
4 Ir 0.7548 0.7548 0.7548  3 Cu 2.63, 6 Ir 2.80, 3 Zr 2.83

Record 12
First-principles (PBEsol) data for an optimized crystal structure of Zr2CuIr, as listed in the Alexandria database.

## Properties
Its crystal system is orthorhombic. Its space group is No. 47. The calculation puts the final energy at -34.25 eV per cell.

Lattice parameters (Å, degrees): 3.0987 3.3441 6.5954 90.00 90.00 90.00
With the nearest neighbours (Å) after each atom.
Fractional positions:
1 Zr 0.0000 0.0000 0.2480  4 Cu 2.81, 4 Ir 2.82, 2 Zr 3.10
2 Zr 0.0000 0.0000 0.7520  4 Cu 2.81, 4 Ir 2.82, 2 Zr 3.10
3 Cu 0.5000 0.5000 0.0000  8 Zr 2.81, 2 Cu 3.10
4 Ir 0.5000 0.5000 0.5000  8 Zr 2.82, 2 Ir 3.10

Per-record E_form, kJ/mol of formula units: -3; -41; -9; 4; -75; -7; -9; -1; -161; -138; -25; -184